1.
CrAsPt2 after structural relaxation, computed with PBE-GGA.

It has space group Imm2 (No. 44), with a = 3.459 Å, b = 4.280 Å, c = 8.486 Å, α = 90.00°, β = 90.00° and γ = 90.00°. The distinct sites, in fractional coordinates, are Cr at (0.000, 0.000, 0.000), As at (0.000, 0.500, 0.263), Pt at (0.000, 0.000, 0.547) and Pt at (0.000, 0.500, 0.780).

As for the magnetization: 3.47 μB/f.u. As for the energy of formation: -0.098 eV/atom.



2.
KRuO2 after structural relaxation, computed with PBE-GGA.

It has space group Fm-3m (No. 225), with a = 5.729 Å, b = 5.729 Å, c = 5.729 Å, α = 90.00°, β = 90.00° and γ = 90.00°. The distinct sites, in fractional coordinates, are K at (0.000, 0.000, 0.000), Ru at (0.000, 0.000, 0.500) and O at (0.250, 0.250, 0.250).

For the formation energy from raw total energies, the calculation gives 75 meV/atom. As for the magnetization: 0.00 μB/f.u.



3.
Cr3ReGe after structural relaxation, computed with PBE-GGA.

It has space group Pm-3m (No. 221), with a = 4.336 Å, b = 4.336 Å, c = 4.336 Å, α = 90.00°, β = 90.00° and γ = 90.00°. The distinct sites, in fractional coordinates, are Cr at (0.000, 0.000, 0.500), Re at (0.500, 0.500, 0.500) and Ge at (0.000, 0.000, 0.000).

As for the magnetization: 3.08 μB/f.u. Its energy above the lowest structure with this stoichiometry is 0.117 eV/atom. As for the energy of formation: 1.471 eV/atom.



4.
ErLuMgSc after structural relaxation, computed with PBE-GGA.

It has space group F-43m (No. 216), with a = 7.525 Å, b = 7.525 Å, c = 7.525 Å, α = 90.00°, β = 90.00° and γ = 90.00°. The distinct sites, in fractional coordinates, are Er at (0.000, 0.000, 0.000), Lu at (0.000, 0.000, 0.500), Mg at (0.250, 0.250, 0.250) and Sc at (0.250, 0.250, 0.750).

As for the magnetization: 0.00 μB/f.u. As for the energy of formation: 0.042 eV/atom.



5.
NbCl3F after structural relaxation, computed with PBE-GGA.

It has space group R-3 (No. 148, hexagonal axes), with a = 6.8590 Å, b = 6.8590 Å, c = 18.4463 Å, α = 90.00°, β = 90.00° and γ = 120.00°. The distinct sites, in fractional coordinates, are Nb at (0.0000, 0.0000, 0.1924), Cl at (0.0045, 0.7238, 0.1056) and F at (0.0000, 0.0000, 0.2961).

For the formation energy from raw total energies, the calculation gives -1542 meV/atom. As for the magnetization: 1.00 μB/f.u. Its energy above the lowest structure with this stoichiometry is 0.079 eV/atom.



6.
Sm2TlTe after structural relaxation, computed with PBE-GGA.

It has space group P4/mmm (No. 123), with a = 3.734 Å, b = 3.734 Å, c = 8.282 Å, α = 90.00°, β = 90.00° and γ = 90.00°. The distinct sites, in fractional coordinates, are Sm at (0.000, 0.000, 0.239), Tl at (0.500, 0.500, 0.500) and Te at (0.500, 0.500, 0.000).

For the formation energy from raw total energies, the calculation gives -756 meV/atom. As for the magnetization: 0.00 μB/f.u. Its energy above the lowest structure with this stoichiometry is 0.152 eV/atom.



7.
PmPrAs2Pd2 after structural relaxation, computed with PBE-GGA.

It has space group P-3m1 (No. 164), with a = 4.3871 Å, b = 4.3871 Å, c = 7.8394 Å, α = 90.00°, β = 90.00° and γ = 120.00°. The distinct sites, in fractional coordinates, are Pm at (0.0000, 0.0000, 0.0000), Pr at (0.0000, 0.0000, 0.5000), As at (0.3333, 0.6667, 0.7532) and Pd at (0.3333, 0.6667, 0.2450).

As for the magnetization: 0.00 μB/f.u. As for the energy of formation: -1.181 eV/atom.



8.
Ca12H3N5 after structural relaxation, computed with PBE-GGA.

It has space group Ia-3d (No. 230), with a = 15.386 Å, b = 15.386 Å, c = 15.386 Å, α = 90.00°, β = 90.00° and γ = 90.00°. The distinct sites, in fractional coordinates, are Ca at (0.029, 0.047, 0.651), H at (0.000, 0.250, 0.125), N at (0.000, 0.000, 0.000) and N at (0.000, 0.250, 0.375).

As for the magnetization: 0.00 μB/f.u. The total DFT energy (no corrections) is -0.15295 Ha/atom.